Entry 1:
A relaxed Y2Si3Pt5 crystal. Source: Alexandria via LeMat-Bulk, functional PBE.

Geometry as POSCAR:
```
Y2Si3Pt5
1.0
4.1493 0.0000 -0.7068
0.0000 6.7818 0.0000
-0.0464 0.0000 12.2602
Pt Si Y
10 6 4
direct
0.3055 0.5834 0.6109
0.1292 0.2518 0.2584
0.6945 0.0834 0.3891
0.8708 0.7518 0.7416
0.0484 0.5450 0.0968
0.2742 0.0034 0.5485
0.5903 0.8185 0.1805
0.4097 0.3185 0.8195
0.9516 0.0450 0.9032
0.7258 0.5034 0.4515
0.7701 0.8155 0.5402
0.2299 0.3155 0.4598
0.9541 0.4081 0.9083
0.0459 0.9081 0.0917
0.6245 0.4671 0.2490
0.3755 0.9671 0.7510
0.8274 0.2598 0.6548
0.5294 0.2123 0.0587
0.4706 0.7123 0.9413
0.1726 0.7598 0.3452
```

Uncorrected formation energy = -1018 meV/atom
Magnetic moment = 0.0 μB/cell
E_tot = -0.5114 Ry/atom
Space group = Cmc2_1, No. 36
Calculated volume = 17.24 Å³ per atom

Entry 2:
A relaxed YSi2Pt crystal. Source: Alexandria via LeMat-Bulk, functional PBE.

Geometry as POSCAR:
```
YSi2Pt
1.0
4.5078 0.0000 0.0000
0.0000 4.5078 0.0000
2.2539 2.2539 8.2753
Y Si Pt
2 4 2
direct
0.5000 0.5000 0.0000
0.2500 0.7500 0.5000
0.3750 0.2304 0.7500
0.8750 0.0196 0.7500
0.7696 0.1250 0.2500
0.9804 0.6250 0.2500
0.7500 0.2500 0.5000
0.0000 0.0000 0.0000
```

Uncorrected formation energy = -567 meV/atom
Magnetic moment = 0.0 μB/cell
E_tot = -0.4707 Ry/atom
Space group = I-42d, No. 122
Calculated volume = 21.02 Å³ per atom

Entry 3:
A relaxed YSi2Pt5 crystal. Source: Alexandria via LeMat-Bulk, functional PBE.

Geometry as POSCAR:
```
YSi2Pt5
1.0
-0.5748 -0.7711 3.7801
0.8241 -6.2111 0.8708
5.6149 -1.3213 2.5967
Y Pt Si
1 5 2
direct
0.0000 0.0000 0.0000
0.3529 0.8496 0.4446
0.0000 0.5000 0.5000
0.6471 0.5554 0.1504
0.6471 0.1504 0.5554
0.3529 0.4446 0.8496
0.7524 0.7476 0.7476
0.2476 0.2524 0.2524
```

Uncorrected formation energy = -909 meV/atom
Magnetic moment = 0.0 μB/cell
E_tot = -0.5033 Ry/atom
Space group = Immm, No. 71
Calculated volume = 16.78 Å³ per atom

Entry 4:
A relaxed YSi3Pt crystal. Source: Alexandria via LeMat-Bulk, functional PBE.

Geometry as POSCAR:
```
YSi3Pt
1.0
-0.0291 4.0840 -2.4913
-3.6823 1.5713 2.6188
3.0539 1.9335 3.1340
Y Si Pt
1 3 1
direct
0.5000 0.5000 0.5000
0.0000 0.5000 0.0000
0.0000 0.0000 0.5000
0.5000 0.0000 0.0000
0.0000 0.0000 0.0000
```

Uncorrected formation energy = 199 meV/atom
Magnetic moment = 0.0 μB/cell
E_tot = -0.4084 Ry/atom
Space group = Pm-3m, No. 221
Calculated volume = 21.90 Å³ per atom

Entry 5:
A relaxed Y2Si3Pt2 crystal. Source: Alexandria via LeMat-Bulk, functional PBE.

Geometry as POSCAR:
```
Y2Si3Pt2
1.0
-1.2734 -1.9760 3.4383
6.1687 1.1269 2.9323
-2.3220 8.6212 1.5717
Pt Y Si
4 4 6
direct
0.3092 0.0468 0.6184
0.3092 0.4532 0.6184
0.6908 0.5468 0.3816
0.6908 0.9532 0.3816
0.0555 0.7500 0.1110
0.9445 0.2500 0.8890
0.8475 0.7500 0.6949
0.1525 0.2500 0.3051
0.4401 0.9279 0.8802
0.4401 0.5721 0.8802
0.5599 0.0721 0.1198
0.7736 0.2500 0.5472
0.5599 0.4279 0.1198
0.2264 0.7500 0.4528
```

Uncorrected formation energy = -1025 meV/atom
Magnetic moment = 0.0 μB/cell
E_tot = -0.5087 Ry/atom
Space group = Cmcm, No. 63
Calculated volume = 18.17 Å³ per atom

Entry 6:
A relaxed YSi3Pt3 crystal. Source: Alexandria via LeMat-Bulk, functional PBE.

Geometry as POSCAR:
```
YSi3Pt3
1.0
6.5960 0.0000 0.0000
0.0000 6.5960 0.0000
0.0000 0.0000 6.5960
Si Pt Y
6 6 2
direct
0.5000 0.0000 0.7500
0.0000 0.7500 0.5000
0.2500 0.5000 0.0000
0.0000 0.2500 0.5000
0.7500 0.5000 0.0000
0.5000 0.0000 0.2500
0.2500 0.0000 0.5000
0.5000 0.7500 0.0000
0.0000 0.5000 0.2500
0.7500 0.0000 0.5000
0.5000 0.2500 0.0000
0.0000 0.5000 0.7500
0.0000 0.0000 0.0000
0.5000 0.5000 0.5000
```

Uncorrected formation energy = -617 meV/atom
Magnetic moment = 0.0 μB/cell
E_tot = -0.4744 Ry/atom
Space group = Pm-3n, No. 223
Calculated volume = 20.50 Å³ per atom

Entry 7:
A relaxed Y3Si5Pt6 crystal. Source: Alexandria via LeMat-Bulk, functional PBE.

Geometry as POSCAR:
```
Y3Si5Pt6
1.0
-0.4344 4.0315 0.0759
-9.3558 -1.0488 2.1654
2.8206 0.0737 12.2220
Y Pt Si
6 12 10
direct
0.0000 0.2448 0.6649
0.0000 0.2448 0.3351
0.5000 0.7552 0.8351
0.5000 0.7382 0.5000
0.5000 0.7552 0.1649
0.0000 0.2618 0.0000
0.0000 0.0109 0.8325
0.0000 0.6035 0.6969
0.0000 0.4798 0.5000
0.5000 0.5202 0.0000
0.5000 0.3965 0.8031
0.5000 0.9891 0.6675
0.5000 0.3965 0.1969
0.5000 0.9891 0.3325
0.0000 0.9909 0.5000
0.0000 0.0109 0.1675
0.0000 0.6035 0.3031
0.5000 0.0091 0.0000
0.0000 0.5356 0.1153
0.0000 0.8546 0.0000
0.5000 0.1507 0.8314
0.5000 0.4644 0.6153
0.0000 0.5356 0.8847
0.0000 0.8493 0.3314
0.0000 0.8493 0.6686
0.5000 0.1507 0.1686
0.5000 0.1454 0.5000
0.5000 0.4644 0.3847
```

Uncorrected formation energy = -1049 meV/atom
Magnetic moment = 0.0 μB/cell
E_tot = -0.5116 Ry/atom
Space group = Pmmn, No. 59
Calculated volume = 17.55 Å³ per atom

Entry 8:
A relaxed YSiPt3 crystal. Source: Alexandria via LeMat-Bulk, functional PBE.

Geometry as POSCAR:
```
YSiPt3
1.0
-0.0871 -3.8743 -1.1078
3.9095 -0.3486 0.9173
0.5733 -3.5546 5.0578
Y Pt Si
1 3 1
direct
0.3968 0.2002 0.9117
0.6385 0.9420 0.4285
0.1385 0.4420 0.4285
0.8136 0.6171 0.0776
0.0204 0.8239 0.6647
```

Uncorrected formation energy = -1094 meV/atom
Magnetic moment = 0.0 μB/cell
E_tot = -0.5216 Ry/atom
Space group = I4mm, No. 107
Calculated volume = 17.92 Å³ per atom

Entry 9:
A relaxed YSi2Pt crystal. Source: Alexandria via LeMat-Bulk, functional PBE.

Geometry as POSCAR:
```
YSi2Pt
1.0
1.7959 -4.2202 -0.6492
-2.7863 -3.5896 -0.8988
-0.0324 -1.9065 -4.2215
Si Y Pt
2 1 1
direct
0.7500 0.7500 0.7500
0.2500 0.2500 0.2500
0.0000 0.0000 0.0000
0.5000 0.5000 0.5000
```

Uncorrected formation energy = -317 meV/atom
Magnetic moment = 0.0 μB/cell
E_tot = -0.4523 Ry/atom
Space group = Fm-3m, No. 225
Calculated volume = 17.57 Å³ per atom

Entry 10:
A relaxed YSi2Pt crystal. Source: Alexandria via LeMat-Bulk, functional PBE.

Geometry as POSCAR:
```
YSi2Pt
1.0
5.5010 -0.0315 0.0000
2.6792 4.8045 0.0000
-4.0901 -2.3865 2.7996
Si Y Pt
2 1 1
direct
0.5000 0.5000 0.0000
0.0000 0.0000 0.0000
0.2500 0.7500 0.5000
0.7500 0.2500 0.5000
```

Uncorrected formation energy = -258 meV/atom
Magnetic moment = 0.0 μB/cell
E_tot = -0.4480 Ry/atom
Space group = I4/mmm, No. 139
Calculated volume = 18.56 Å³ per atom

Entry 11:
A relaxed Y3Si2Pt3 crystal. Source: Alexandria via LeMat-Bulk, functional PBE.

Geometry as POSCAR:
```
Y3Si2Pt3
1.0
5.5985 0.0000 0.0000
0.0000 7.6383 0.0000
0.0000 0.0000 14.9431
Y Si Pt
12 8 12
direct
0.8675 0.5321 0.6091
0.1039 0.1731 0.7500
0.3675 0.9679 0.3909
0.1325 0.4679 0.3909
0.6325 0.0321 0.6091
0.1325 0.4679 0.1091
0.8961 0.8269 0.2500
0.8675 0.5321 0.8909
0.6325 0.0321 0.8909
0.3675 0.9679 0.1091
0.3961 0.6731 0.7500
0.6039 0.3269 0.2500
0.8675 0.1218 0.1046
0.3675 0.3782 0.6046
0.1325 0.8782 0.8954
0.3675 0.3782 0.8954
0.6325 0.6218 0.1046
0.6325 0.6218 0.3954
0.8675 0.1218 0.3954
0.1325 0.8782 0.6046
0.4090 0.6828 0.2500
0.4012 0.6718 0.5382
0.5988 0.3282 0.0382
0.5910 0.3172 0.7500
0.9012 0.8282 0.0382
0.5988 0.3282 0.4618
0.4012 0.6718 0.9618
0.0988 0.1718 0.5382
0.9012 0.8282 0.4618
0.9090 0.8172 0.7500
0.0910 0.1828 0.2500
0.0988 0.1718 0.9618
```

Uncorrected formation energy = -1196 meV/atom
Magnetic moment = 0.0 μB/cell
E_tot = -0.5322 Ry/atom
Space group = Pnma, No. 62
Calculated volume = 19.97 Å³ per atom

Entry 12:
A relaxed YSiPt4 crystal. Source: Alexandria via LeMat-Bulk, functional PBE.

Geometry as POSCAR:
```
YSiPt4
1.0
3.8842 0.0000 0.0000
0.0000 6.9087 0.0000
0.0000 0.0000 7.6775
Pt Si Y
8 2 2
direct
0.5000 0.0554 0.2500
0.0000 0.0000 0.5000
0.0000 0.0000 0.0000
0.5000 0.3082 0.5596
0.5000 0.6918 0.0596
0.5000 0.6918 0.4404
0.5000 0.9446 0.7500
0.5000 0.3082 0.9404
0.0000 0.7896 0.2500
0.0000 0.2104 0.7500
0.0000 0.3717 0.2500
0.0000 0.6283 0.7500
```

Uncorrected formation energy = -894 meV/atom
Magnetic moment = 0.0 μB/cell
E_tot = -0.5073 Ry/atom
Space group = Pmma, No. 51
Calculated volume = 17.17 Å³ per atom